BaTi3Cd (PBE, optimized geometry); distance to the lowest polymorph of the same formula = 3.12 eV per formula unit; space group = Pm-3m (221)
1.0
-3.353 2.100 3.034
0.763 -3.616 3.346
3.610 2.714 2.110
Ba Ti Cd
1 3 1
Direct
0.000 0.000 0.000
0.500 0.000 0.000
0.000 0.000 0.500
0.000 0.500 0.000
0.500 0.500 0.500


UAl4Co5 (PBE, optimized geometry); total DFT energy (no corrections) = -6.6684 eV per atom; space group = P4/mmm (123)
1.0
2.860 0.000 0.000
0.000 2.860 0.000
0.000 0.000 15.318
Co Al U
5 4 1
Direct
0.500 0.500 0.686
0.500 0.500 0.500
0.500 0.500 0.314
0.500 0.500 0.876
0.500 0.500 0.124
0.000 0.000 0.219
0.000 0.000 0.781
0.000 0.000 0.407
0.000 0.000 0.593
0.000 0.000 0.000


LaBe4As (PBE, optimized geometry); total DFT energy (no corrections) = -3.6891 eV per atom; space group = F-43m (216)
1.0
-2.353 -2.706 -3.536
-4.968 0.496 -0.661
-1.777 2.261 -4.135
Be As La
4 1 1
Direct
0.868 0.377 0.377
0.377 0.377 0.377
0.377 0.377 0.868
0.377 0.868 0.377
0.000 0.000 0.000
0.750 0.750 0.750


KSrN2 (PBE, optimized geometry); distance to the lowest polymorph of the same formula = 0.37 eV per formula unit; space group = I-42d (122)
1.0
5.754 0.000 0.000
0.000 5.754 0.000
2.877 2.877 6.760
N Sr K
4 2 2
Direct
0.080 0.625 0.250
0.375 0.330 0.750
0.875 0.920 0.750
0.670 0.125 0.250
0.750 0.250 0.500
0.000 0.000 0.000
0.500 0.500 0.000
0.250 0.750 0.500


Ba2ZrMo (PBE, optimized geometry); distance to the lowest polymorph of the same formula = 0.57 eV per formula unit; space group = Cm (8)
1.0
-3.796 0.841 -2.838
-4.750 -0.757 0.188
-1.769 8.374 3.866
Ba Mo Zr
2 1 1
Direct
0.993 0.993 0.080
0.768 0.768 0.666
0.503 0.503 0.411
0.236 0.236 0.344


AlFe2Pd6 (PBE, optimized geometry); distance to the lowest polymorph of the same formula = 1.73 eV per formula unit; space group = C2/m (12)
1.0
-0.504 1.287 -3.879
-5.791 -0.392 0.623
2.961 5.432 3.590
Fe Pd Al
2 6 1
Direct
0.667 0.667 0.335
0.333 0.333 0.665
0.500 0.248 0.000
0.165 0.917 0.330
0.835 0.083 0.670
0.835 0.587 0.670
0.500 0.752 0.000
0.165 0.413 0.330
0.000 0.000 0.000


PmBPt3 (PBE, optimized geometry); distance to the lowest polymorph of the same formula = 0.00 eV per formula unit; space group = P2_1/m (11)
1.0
5.722 0.000 0.000
0.000 5.074 -2.859
0.000 0.004 5.725
Pm Pt B
2 6 2
Direct
0.750 0.510 0.256
0.250 0.490 0.744
0.500 0.000 0.249
0.000 0.000 0.249
0.000 0.000 0.751
0.500 0.000 0.751
0.250 0.405 0.202
0.750 0.595 0.798
0.250 0.816 0.408
0.750 0.184 0.592


TiMn2Pd (PBE, optimized geometry); total DFT energy (no corrections) = -7.5067 eV per atom; space group = I-42d (122)
1.0
3.591 0.000 0.000
0.000 3.591 0.000
1.795 1.795 8.999
Ti Pd Mn
2 2 4
Direct
0.250 0.750 0.500
0.500 0.500 0.000
0.750 0.250 0.500
0.000 0.000 0.000
0.553 0.125 0.250
0.197 0.625 0.250
0.875 0.803 0.750
0.375 0.447 0.750


Ac4Pd2Rh (PBE, optimized geometry); distance to the lowest polymorph of the same formula = 1.39 eV per formula unit; space group = I4/mmm (139)
1.0
-0.380 5.404 1.843
-4.766 -1.318 2.881
6.652 -3.786 3.589
Ac Pd Rh
4 2 1
Direct
0.201 0.201 0.401
0.500 0.000 0.000
0.799 0.799 0.599
0.000 0.500 0.000
0.605 0.605 0.210
0.395 0.395 0.790
0.000 0.000 0.000


KCoAu2 (PBE, optimized geometry); distance to the lowest polymorph of the same formula = 1.42 eV per formula unit; space group = R3m (160)
1.0
-4.041 -6.555 6.676
-1.460 -7.989 6.158
-1.580 -5.816 8.219
K Co Au
1 1 2
Direct
0.752 0.752 0.752
0.511 0.511 0.511
0.245 0.245 0.245
0.992 0.992 0.992


BaHfPS2 (PBE, optimized geometry); distance to the lowest polymorph of the same formula = 5.07 eV per formula unit; space group = P4/mmm (123)
1.0
4.827 0.000 0.000
0.000 4.827 0.000
0.000 0.000 7.990
Hf S Ba P
1 2 1 1
Direct
0.000 0.000 0.000
0.000 0.500 0.000
0.500 0.000 0.000
0.000 0.000 0.500
0.500 0.500 0.500


OsI3O (PBE, optimized geometry); distance to the lowest polymorph of the same formula = 2.34 eV per formula unit; space group = Pm-3m (221)
1.0
-0.228 4.494 2.279
-0.602 -2.289 4.454
5.002 -0.071 0.640
O I Os
1 3 1
Direct
0.000 0.000 0.000
0.500 0.000 0.000
0.000 0.500 0.000
0.000 0.000 0.500
0.500 0.500 0.500